Crystalline GeSbI2N at its relaxed geometry. Source: Alexandria via LeMat-Bulk, functional PBE-GGA.

abc: 5.530 5.530 5.584
angles: 90.00 90.00 90.00
Fractional coordinates of all 5 atoms:
I  0.000  0.500  0.000
I  0.500  0.000  0.000
Sb  0.000  0.000  0.500
Ge  0.000  0.000  0.000
N  0.500  0.500  0.500

Values from the calculation:
The space group is P4/mmm (123). For the raw formation energy, the calculation gives 1.6714 eV/atom.